# 1
# Cs2LiTbCl6

Crystalline Cs2LiTbCl6 at its relaxed geometry (PBE-GGA, the Alexandria database).

a b c (Å): 7.5225 7.5225 7.5225
angles (deg): 60.00 60.00 60.00
Closest atoms and distances in Å follow each position.
Fractional coordinates of all 10 atoms:
Cs  0.2500  0.2500  0.2500  12 Cl 3.76
Cl  0.2502  0.7498  0.7498  1 Li 2.66, 1 Tb 2.66
Li  0.5000  0.5000  0.5000  6 Cl 2.66
Cs  0.7500  0.7500  0.7500  12 Cl 3.76
Cl  0.7498  0.2501  0.2501  1 Li 2.66, 1 Tb 2.66
Cl  0.2501  0.7498  0.2501  1 Li 2.66, 1 Tb 2.66
Cl  0.2501  0.2501  0.7498  1 Li 2.66, 1 Tb 2.66
Cl  0.7498  0.2502  0.7498  1 Li 2.66, 1 Tb 2.66
Tb  0.0000  0.0000  0.0000  6 Cl 2.66
Cl  0.7498  0.7498  0.2502  1 Li 2.66, 1 Tb 2.66

Output
Crystal system   cubic
ΔE_f (raw)   -2.13 eV/atom
Magnetic moment   0.0 μB per formula unit

***

# 2
# Fe2CoSi

Crystalline Fe2CoSi at its relaxed geometry (PBE-GGA, the Alexandria database).

a b c (Å): 4.6298 4.6298 4.6298
angles (deg): 143.37 130.58 63.06
Closest atoms and distances in Å follow each position.
Fractional coordinates of all 4 atoms:
Fe  0.5035  0.5035  0.0000  4 Fe 2.42, 2 Si 2.43, 2 Co 2.47
Si  0.7500  0.2500  0.5000  4 Co 2.42, 4 Fe 2.43
Fe  0.9965  0.9965  0.0000  4 Fe 2.42, 2 Si 2.43, 2 Co 2.47
Co  0.2500  0.7500  0.5000  4 Si 2.42, 4 Fe 2.47

Output
Crystal system   orthorhombic
ΔE_f (raw)   -0.28 eV/atom
Magnetic moment   5.3 μB per formula unit

***

# 3
# AgSnSbMo2

Crystalline AgSnSbMo2 at its relaxed geometry (PBE-GGA, the Alexandria database).

a b c (Å): 5.0140 5.4860 5.0140
angles (deg): 90.00 90.00 90.00
Closest atoms and distances in Å follow each position.
Fractional coordinates of all 5 atoms:
Mo  0.0000  0.0000  0.5000  2 Sn 2.51
Sb  0.0000  0.5000  0.0000  2 Sn 2.74
Ag  0.5000  0.5000  0.5000  4 Sb 3.55, 8 Mo 3.72
Sn  0.0000  0.0000  0.0000  4 Mo 2.51, 2 Sb 2.74
Mo  0.5000  0.0000  0.0000  2 Sn 2.51

Output
Crystal system   tetragonal
ΔE_f (raw)   1.99 eV/atom
Magnetic moment   0.0 μB per formula unit

***

# 4
# Nd6Ni2PI3

Crystalline Nd6Ni2PI3 at its relaxed geometry (PBE-GGA, the Alexandria database).

a b c (Å): 7.2801 7.2801 8.2210
angles (deg): 98.49 98.49 119.92
Closest atoms and distances in Å follow each position.
Fractional coordinates of all 12 atoms:
Ni  0.6670  0.3330  0.0000  6 Nd 2.80
Nd  0.2827  0.2827  0.8138  2 Ni 2.80, 1 P 2.91
Nd  0.9371  0.5927  0.8135  2 Ni 2.80, 1 P 2.91
Nd  0.5927  0.9371  0.8135  2 Ni 2.80, 1 P 2.91
Ni  0.3330  0.6670  0.0000  6 Nd 2.80
P  0.0000  0.0000  0.0000  6 Nd 2.91
Nd  0.0629  0.4073  0.1865  2 Ni 2.80, 1 P 2.91
I  0.1628  0.8372  0.5000  6 Nd 3.43-3.49
I  0.8372  0.1628  0.5000  6 Nd 3.43-3.49
Nd  0.7173  0.7173  0.1862  2 Ni 2.80, 1 P 2.91
Nd  0.4073  0.0629  0.1865  2 Ni 2.80, 1 P 2.91
I  0.5000  0.5000  0.5000  6 Nd 3.40-3.49

Output
Crystal system   monoclinic
ΔE_f (raw)   -0.86 eV/atom
Magnetic moment   0.0 μB per formula unit

***

# 5
# BaGa3Os

Crystalline BaGa3Os at its relaxed geometry (PBE-GGA, the Alexandria database).

a b c (Å): 9.5197 9.5197 9.5197
angles (deg): 60.00 60.00 60.00
Closest atoms and distances in Å follow each position.
Fractional coordinates of all 20 atoms:
Ga  0.3394  0.6606  0.6606  2 Os 2.43
Ga  0.3394  0.6606  0.3394  2 Os 2.43
Ba  0.1250  0.1250  0.1250  6 Ga 3.74
Ga  0.6606  0.3394  0.6606  2 Os 2.43
Ga  0.9106  0.5894  0.9106  2 Os 2.43
Ga  0.5894  0.9106  0.9106  2 Os 2.43
Ga  0.6606  0.6606  0.3394  2 Os 2.43
Os  0.6250  0.6250  0.1250  6 Ga 2.43
Ga  0.6606  0.3394  0.3394  2 Os 2.43
Ba  0.1250  0.6250  0.1250  6 Ga 3.74
Ga  0.3394  0.3394  0.6606  2 Os 2.43
Ba  0.6250  0.1250  0.1250  6 Ga 3.74
Ga  0.9106  0.5894  0.5894  2 Os 2.43
Os  0.1250  0.6250  0.6250  6 Ga 2.43
Ga  0.5894  0.9106  0.5894  2 Os 2.43
Ga  0.5894  0.5894  0.9106  2 Os 2.43
Os  0.6250  0.1250  0.6250  6 Ga 2.43
Os  0.6250  0.6250  0.6250  6 Ga 2.43
Ba  0.1250  0.1250  0.6250  6 Ga 3.74
Ga  0.9106  0.9106  0.5894  2 Os 2.43

Output
Crystal system   cubic
Excess energy over the best structure of this formula in the dataset   294 meV per atom
Magnetic moment   0.0 μB per formula unit
Formation energy   -104 meV/atom

***

# 6
# Mg2SiS4

Crystalline Mg2SiS4 at its relaxed geometry (PBE-GGA, the Alexandria database).

a b c (Å): 5.9555 7.4863 12.7984
angles (deg): 90.00 90.00 90.00
Closest atoms and distances in Å follow each position.
Fractional coordinates of all 28 atoms:
Mg  0.5000  0.5000  0.5000  6 S 2.57-2.63
S  0.7613  0.7500  0.5650  1 Si 2.16
S  0.2387  0.2500  0.4350  1 Si 2.16
Mg  0.5078  0.2500  0.7687  6 S 2.59-2.64
Si  0.4064  0.2500  0.0896  4 S 2.12-2.16
Mg  0.4922  0.7500  0.2313  6 S 2.59-2.64
S  0.2529  0.0249  0.1662  1 Si 2.15
S  0.2529  0.4751  0.1662  1 Si 2.15
Mg  0.0000  0.5000  0.0000  6 S 2.57-2.63
S  0.7529  0.9751  0.3338  1 Si 2.15
S  0.7471  0.5249  0.8338  1 Si 2.15
S  0.7621  0.2500  0.0925  1 Si 2.12
Mg  0.9922  0.2500  0.2687  6 S 2.59-2.64
S  0.7529  0.5249  0.3338  1 Si 2.15
Mg  0.5000  0.0000  0.5000  6 S 2.57-2.63
S  0.2621  0.7500  0.4075  1 Si 2.12
Si  0.5936  0.7500  0.9104  4 S 2.12-2.16
S  0.2471  0.0249  0.6662  1 Si 2.15
S  0.7379  0.2500  0.5925  1 Si 2.12
S  0.2379  0.7500  0.9075  1 Si 2.12
S  0.2471  0.4751  0.6662  1 Si 2.15
Si  0.0936  0.2500  0.5896  4 S 2.12-2.16
S  0.2613  0.2500  0.9350  1 Si 2.16
S  0.7387  0.7500  0.0650  1 Si 2.16
Mg  0.0078  0.7500  0.7313  6 S 2.59-2.64
S  0.7471  0.9751  0.8338  1 Si 2.15
Si  0.9064  0.7500  0.4104  4 S 2.12-2.16
Mg  0.0000  0.0000  0.0000  6 S 2.57-2.63

Output
Crystal system   orthorhombic
ΔE_f (raw)   -1.14 eV/atom
Excess energy over the best structure of this formula in the dataset   0 meV per atom
Magnetic moment   0.0 μB per formula unit